[1]
First-principles (GGA-PBE) data for a relaxed structure of KCaOF2, as listed in the Alexandria database.

Cell lengths 4.481, 4.481, 4.641 Å; angles 90.00, 90.00, 90.00 degrees
Sites, in units of the cell vectors:
K1 0.000 0.000 0.000
Ca1 0.500 0.500 0.500
O1 0.500 0.500 0.000
F1 0.000 0.500 0.500
F2 0.500 0.000 0.500

Output
ΔE_f (raw)   -2581 meV per atom
Energy relative to the lowest polymorph listed for this composition   0.00 eV/f.u.

---

[2]
First-principles (GGA-PBE) data for a relaxed structure of K2CaPbF6, as listed in the Alexandria database.

Cell lengths 6.345, 6.544, 11.048 Å; angles 90.00, 124.91, 90.00 degrees
Sites, in units of the cell vectors:
K1 0.236 0.049 0.250
K2 0.236 0.451 0.750
K3 0.764 0.549 0.250
K4 0.764 0.951 0.750
Ca1 0.000 0.000 0.500
Ca2 0.000 0.500 0.000
Pb1 0.500 0.000 0.000
Pb2 0.500 0.500 0.500
F1 0.132 0.215 0.942
F2 0.132 0.285 0.442
F3 0.234 0.694 0.946
F4 0.234 0.806 0.446
F5 0.343 0.045 0.739
F6 0.343 0.455 0.239
F7 0.657 0.545 0.761
F8 0.657 0.955 0.261
F9 0.766 0.194 0.554
F10 0.766 0.306 0.054
F11 0.868 0.715 0.558
F12 0.868 0.785 0.058

Output
ΔE_f (raw)   -3001 meV per atom

---

[3]
First-principles (GGA-PBE) data for a relaxed structure of KCaPb2F8, as listed in the Alexandria database.

Cell lengths 4.125, 5.796, 8.198 Å; angles 90.00, 90.00, 90.00 degrees
Sites, in units of the cell vectors:
K1 0.000 0.000 0.000
Ca1 0.000 0.000 0.500
Pb1 0.500 0.500 0.250
Pb2 0.500 0.500 0.750
F1 0.000 0.260 0.275
F2 0.000 0.260 0.725
F3 0.000 0.740 0.275
F4 0.000 0.740 0.725
F5 0.500 0.236 0.500
F6 0.500 0.280 0.000
F7 0.500 0.720 0.000
F8 0.500 0.764 0.500

Output
ΔE_f (raw)   -2733 meV per atom

---

[4]
First-principles (GGA-PBE) data for a relaxed structure of KCaPbF6, as listed in the Alexandria database.

Cell lengths 6.218, 6.218, 10.536 Å; angles 90.00, 90.00, 120.00 degrees
Sites, in units of the cell vectors:
K1 0.000 0.000 0.000
K2 0.000 0.000 0.500
Ca1 0.333 0.667 0.250
Ca2 0.667 0.333 0.750
Pb1 0.333 0.667 0.750
Pb2 0.667 0.333 0.250
F1 0.001 0.368 0.640
F2 0.001 0.633 0.860
F3 0.367 0.368 0.860
F4 0.367 0.999 0.640
F5 0.368 0.001 0.140
F6 0.368 0.367 0.360
F7 0.632 0.633 0.640
F8 0.632 0.999 0.860
F9 0.633 0.001 0.360
F10 0.633 0.632 0.140
F11 0.999 0.367 0.140
F12 0.999 0.632 0.360

Output
ΔE_f (raw)   -2826 meV per atom

---

[5]
First-principles (GGA-PBE) data for a relaxed structure of KCaPd2F8, as listed in the Alexandria database.

Cell lengths 6.446, 6.446, 6.446 Å; angles 124.64, 124.64, 82.14 degrees
Sites, in units of the cell vectors:
K1 0.000 0.000 0.000
Ca1 0.750 0.250 0.500
Pd1 0.250 0.750 0.500
Pd2 0.500 0.500 0.000
F1 0.088 0.454 0.045
F2 0.163 0.395 0.598
F3 0.410 0.043 0.955
F4 0.435 0.837 0.232
F5 0.546 0.590 0.633
F6 0.605 0.203 0.768
F7 0.797 0.565 0.402
F8 0.957 0.912 0.367

Output
ΔE_f (raw)   -2103 meV per atom

---

[6]
First-principles (GGA-PBE) data for a relaxed structure of KCaPdF6, as listed in the Alexandria database.

Cell lengths 7.445, 7.445, 7.445 Å; angles 120.55, 115.91, 93.14 degrees
Sites, in units of the cell vectors:
K1 0.394 0.144 0.250
K2 0.606 0.856 0.750
Ca1 0.000 0.000 0.500
Ca2 0.000 0.500 0.000
Pd1 0.000 0.500 0.500
Pd2 0.500 0.500 0.000
F1 0.120 0.870 0.250
F2 0.164 0.444 0.338
F3 0.164 0.826 0.719
F4 0.167 0.417 0.750
F5 0.394 0.174 0.838
F6 0.394 0.556 0.219
F7 0.606 0.444 0.781
F8 0.606 0.826 0.162
F9 0.833 0.583 0.250
F10 0.836 0.174 0.281
F11 0.836 0.556 0.662
F12 0.880 0.130 0.750

Output
ΔE_f (raw)   -2518 meV per atom

---

[7]
First-principles (GGA-PBE) data for a relaxed structure of K2Ca3PmF12, as listed in the Alexandria database.

Cell lengths 8.490, 8.490, 8.490 Å; angles 56.63, 56.63, 56.63 degrees
Sites, in units of the cell vectors:
K1 0.084 0.084 0.084
K2 0.916 0.916 0.916
Ca1 0.000 0.500 0.500
Ca2 0.500 0.000 0.500
Ca3 0.500 0.500 0.000
Pm1 0.500 0.500 0.500
F1 0.160 0.160 0.601
F2 0.160 0.601 0.160
F3 0.178 0.565 0.565
F4 0.399 0.840 0.840
F5 0.435 0.435 0.822
F6 0.435 0.822 0.435
F7 0.565 0.178 0.565
F8 0.565 0.565 0.178
F9 0.601 0.160 0.160
F10 0.822 0.435 0.435
F11 0.840 0.399 0.840
F12 0.840 0.840 0.399

Output
ΔE_f (raw)   -3377 meV per atom

---

[8]
First-principles (GGA-PBE) data for a relaxed structure of KCaPmF6, as listed in the Alexandria database.

Cell lengths 8.485, 8.485, 8.485 Å; angles 122.27, 119.17, 88.78 degrees
Sites, in units of the cell vectors:
K1 0.272 0.022 0.250
K2 0.728 0.978 0.750
Ca1 0.000 0.000 0.500
Ca2 0.000 0.500 0.000
Pm1 0.000 0.500 0.500
Pm2 0.500 0.500 0.000
F1 0.044 0.409 0.224
F2 0.044 0.820 0.635
F3 0.067 0.817 0.250
F4 0.316 0.180 0.724
F5 0.316 0.591 0.135
F6 0.317 0.567 0.750
F7 0.683 0.433 0.250
F8 0.684 0.409 0.865
F9 0.684 0.820 0.276
F10 0.933 0.183 0.750
F11 0.956 0.180 0.365
F12 0.956 0.591 0.776

Output
ΔE_f (raw)   -3665 meV per atom

---

[9]
First-principles (GGA-PBE) data for a relaxed structure of K2CaPmF6, as listed in the Alexandria database.

Cell lengths 6.262, 6.446, 6.509 Å; angles 63.01, 61.38, 61.15 degrees
Sites, in units of the cell vectors:
K1 0.221 0.263 0.305
K2 0.779 0.737 0.695
Ca1 0.500 0.500 0.500
Pm1 0.000 0.000 0.000
F1 0.198 0.305 0.738
F2 0.237 0.702 0.265
F3 0.264 0.801 0.701
F4 0.736 0.199 0.299
F5 0.763 0.298 0.735
F6 0.802 0.695 0.262

Output
ΔE_f (raw)   -3276 meV per atom

---

[10]
First-principles (GGA-PBE) data for a relaxed structure of KCaPrF6, as listed in the Alexandria database.

Cell lengths 8.571, 8.571, 8.571 Å; angles 122.35, 118.82, 89.02 degrees
Sites, in units of the cell vectors:
K1 0.262 0.012 0.250
K2 0.738 0.988 0.750
Ca1 0.000 0.000 0.500
Ca2 0.000 0.500 0.000
Pr1 0.000 0.500 0.500
Pr2 0.500 0.500 0.000
F1 0.037 0.403 0.215
F2 0.037 0.822 0.635
F3 0.059 0.809 0.250
F4 0.312 0.178 0.715
F5 0.312 0.597 0.135
F6 0.320 0.570 0.750
F7 0.680 0.430 0.250
F8 0.688 0.403 0.865
F9 0.688 0.822 0.285
F10 0.941 0.191 0.750
F11 0.963 0.178 0.365
F12 0.963 0.597 0.785

Output
ΔE_f (raw)   -3639 meV per atom

---

[11]
First-principles (GGA-PBE) data for a relaxed structure of K2Ca3PrF12, as listed in the Alexandria database.

Cell lengths 8.567, 8.567, 8.567 Å; angles 56.21, 56.21, 56.21 degrees
Sites, in units of the cell vectors:
K1 0.081 0.081 0.081
K2 0.919 0.919 0.919
Ca1 0.000 0.500 0.500
Ca2 0.500 0.000 0.500
Ca3 0.500 0.500 0.000
Pr1 0.500 0.500 0.500
F1 0.162 0.162 0.602
F2 0.162 0.602 0.162
F3 0.174 0.565 0.565
F4 0.398 0.838 0.838
F5 0.435 0.435 0.826
F6 0.435 0.826 0.435
F7 0.565 0.174 0.565
F8 0.565 0.565 0.174
F9 0.602 0.162 0.162
F10 0.826 0.435 0.435
F11 0.838 0.398 0.838
F12 0.838 0.838 0.398

Output
ΔE_f (raw)   -3362 meV per atom

---

[12]
First-principles (GGA-PBE) data for a relaxed structure of KCaPuF6, as listed in the Alexandria database.

Cell lengths 6.301, 6.301, 10.255 Å; angles 90.00, 90.00, 120.00 degrees
Sites, in units of the cell vectors:
K1 0.000 0.000 0.000
K2 0.000 0.000 0.500
Ca1 0.333 0.667 0.250
Ca2 0.667 0.333 0.750
Pu1 0.333 0.667 0.750
Pu2 0.667 0.333 0.250
F1 0.002 0.368 0.141
F2 0.002 0.634 0.359
F3 0.366 0.368 0.359
F4 0.366 0.998 0.141
F5 0.368 0.002 0.641
F6 0.368 0.366 0.859
F7 0.632 0.634 0.141
F8 0.632 0.998 0.359
F9 0.634 0.002 0.859
F10 0.634 0.632 0.641
F11 0.998 0.366 0.641
F12 0.998 0.632 0.859

Output
ΔE_f (raw)   -3495 meV per atom

---

[13]
First-principles (GGA-PBE) data for a relaxed structure of KRbCaF4, as listed in the Alexandria database.

Cell lengths 7.645, 7.645, 7.645 Å; angles 146.04, 146.04, 48.79 degrees
Sites, in units of the cell vectors:
K1 0.000 0.000 0.000
Rb1 0.296 0.296 0.000
Ca1 0.648 0.648 0.000
F1 0.144 0.644 0.500
F2 0.486 0.486 0.000
F3 0.644 0.144 0.500
F4 0.811 0.811 0.000

Output
ΔE_f (raw)   -3231 meV per atom

---

[14]
First-principles (GGA-PBE) data for a relaxed structure of KRb4Ca3F12, as listed in the Alexandria database.

Cell lengths 8.002, 8.002, 8.002 Å; angles 109.47, 109.47, 109.47 degrees
Sites, in units of the cell vectors:
K1 0.000 0.000 0.000
Rb1 0.000 0.000 0.500
Rb2 0.000 0.500 0.000
Rb3 0.500 0.000 0.000
Rb4 0.500 0.500 0.500
Ca1 0.000 0.500 0.500
Ca2 0.500 0.000 0.500
Ca3 0.500 0.500 0.000
F1 0.000 0.265 0.265
F2 0.000 0.735 0.735
F3 0.250 0.500 0.750
F4 0.250 0.750 0.500
F5 0.265 0.000 0.265
F6 0.265 0.265 0.000
F7 0.500 0.250 0.750
F8 0.500 0.750 0.250
F9 0.735 0.000 0.735
F10 0.735 0.735 0.000
F11 0.750 0.250 0.500
F12 0.750 0.500 0.250

Output
ΔE_f (raw)   -3104 meV per atom

---

[15]
First-principles (GGA-PBE) data for a relaxed structure of KRb2CaF5, as listed in the Alexandria database.

Cell lengths 4.415, 4.415, 9.748 Å; angles 90.00, 90.00, 90.00 degrees
Sites, in units of the cell vectors:
K1 0.000 0.000 0.000
Rb1 0.500 0.500 0.279
Rb2 0.500 0.500 0.721
Ca1 0.000 0.000 0.500
F1 0.000 0.000 0.265
F2 0.000 0.000 0.735
F3 0.000 0.500 0.500
F4 0.500 0.000 0.500
F5 0.500 0.500 0.000

Output
ΔE_f (raw)   -3098 meV per atom

---

[16]
First-principles (GGA-PBE) data for a relaxed structure of K2RbCaF6, as listed in the Alexandria database.

Cell lengths 6.657, 6.859, 10.955 Å; angles 90.00, 125.76, 90.00 degrees
Sites, in units of the cell vectors:
K1 0.228 0.055 0.249
K2 0.228 0.445 0.749
K3 0.772 0.555 0.251
K4 0.772 0.945 0.751
Rb1 0.500 0.000 0.000
Rb2 0.500 0.500 0.500
Ca1 0.000 0.000 0.500
Ca2 0.000 0.500 0.000
F1 0.086 0.238 0.908
F2 0.086 0.262 0.408
F3 0.181 0.692 0.921
F4 0.181 0.808 0.421
F5 0.368 0.088 0.712
F6 0.368 0.412 0.212
F7 0.632 0.588 0.788
F8 0.632 0.912 0.288
F9 0.819 0.192 0.579
F10 0.819 0.308 0.079
F11 0.914 0.738 0.592
F12 0.914 0.762 0.092

Output
ΔE_f (raw)   -2793 meV per atom

---

[17]
First-principles (GGA-PBE) data for a relaxed structure of K2CaReF, as listed in the Alexandria database.

Cell lengths 7.086, 7.086, 4.099 Å; angles 90.00, 90.00, 90.00 degrees
Sites, in units of the cell vectors:
K1 0.000 0.500 0.000
K2 0.500 0.000 0.000
Ca1 0.000 0.000 0.500
Re1 0.500 0.500 0.000
F1 0.500 0.500 0.500

Output
ΔE_f (raw)   552 meV per atom

---

[18]
First-principles (GGA-PBE) data for a relaxed structure of KCaRhF6, as listed in the Alexandria database.

Cell lengths 7.776, 7.776, 7.776 Å; angles 121.58, 120.02, 88.63 degrees
Sites, in units of the cell vectors:
K1 0.410 0.160 0.250
K2 0.590 0.840 0.750
Ca1 0.000 0.500 0.500
Ca2 0.500 0.500 0.000
Rh1 0.000 0.000 0.500
Rh2 0.000 0.500 0.000
F1 0.060 0.810 0.250
F2 0.069 0.408 0.218
F3 0.069 0.851 0.661
F4 0.310 0.149 0.718
F5 0.310 0.592 0.161
F6 0.349 0.599 0.750
F7 0.651 0.401 0.250
F8 0.690 0.408 0.839
F9 0.690 0.851 0.282
F10 0.931 0.149 0.339
F11 0.931 0.592 0.782
F12 0.940 0.190 0.750

Output
ΔE_f (raw)   -2608 meV per atom

---

[19]
First-principles (GGA-PBE) data for a relaxed structure of KCaSF2, as listed in the Alexandria database.

Cell lengths 4.385, 4.385, 9.097 Å; angles 90.00, 90.00, 90.00 degrees
Sites, in units of the cell vectors:
K1 0.000 0.000 0.000
Ca1 0.000 0.000 0.500
S1 0.500 0.500 0.000
F1 0.000 0.500 0.500
F2 0.500 0.000 0.500

Output
ΔE_f (raw)   -2171 meV per atom